Entry from Alexandria via LeMat-Bulk: a relaxed TcMo2Rh crystal (PBE-GGA).

Computed properties:
Space-group type = P4mm, No. 99
Magnetic moment = 0.00 Bohr magnetons per cell
Raw total energy = -9.77 eV per atom

```
data_TcMo2Rh
_chemical_formula_sum 'Tc1 Mo2 Rh1'
_space_group_name_H-M_alt 'P 1'
_space_group_IT_number 1
_cell_length_a 2.7351
_cell_length_b 2.7351
_cell_length_c 8.1116
_cell_angle_alpha 90.00
_cell_angle_beta 90.00
_cell_angle_gamma 90.00
loop_
_space_group_symop_operation_xyz
'x,y,z'
loop_
_atom_site_label
_atom_site_type_symbol
_atom_site_fract_x
_atom_site_fract_y
_atom_site_fract_z
_atom_site_occupancy
Tc1 Tc 0.0000 0.0000 0.0000 1
Mo1 Mo 0.0000 0.0000 0.5164 1
Mo2 Mo 0.5000 0.5000 0.2503 1
Rh1 Rh 0.5000 0.5000 0.7610 1
```